A plane-wave DFT calculation with PBEsol was carried out for a geometry-optimized YSb2W structure.

- raw total energy (eV per atom) = -7.252
- symmetry = Cmm2
- distance to the lowest polymorph of the same formula (meV per atom) = 217.2

```
4
Lattice="3.100 -0.011 0.000 -0.790 2.997 0.000 0.000 0.000 10.347" Properties=species:S:1:pos:R:3 pbc="T T T"
Sb 0.000 0.000 0.321
Sb 1.155 1.493 7.173
Y 1.155 1.493 2.870
W 0.000 0.000 5.157
```